Record 1
Density functional theory data (GGA-PBE) for Ba4Cd6F19 after structural relaxation.

Values from the calculation:
Raw formation energy = -2.798 eV/atom
DOS(E_F) = 0.79 states/eV/f.u.
Total magnetic moment = 0.000 μB/cell
SG = I23, No. 197

abc: 8.6284 8.6284 8.6284
angles: 109.47 109.47 109.47
Fractional positions:
Ba  0.0000  0.0000  0.6780
Ba  0.0000  0.6780  0.0000
Ba  0.3220  0.3220  0.3220
Ba  0.6780  0.0000  0.0000
Cd  0.1682  0.6682  0.5000
Cd  0.3318  0.5000  0.8318
Cd  0.5000  0.1682  0.6682
Cd  0.5000  0.8318  0.3318
Cd  0.6682  0.5000  0.1682
Cd  0.8318  0.3318  0.5000
F  0.0000  0.0000  0.0000
F  0.0000  0.3367  0.3367
F  0.0000  0.6633  0.6633
F  0.0259  0.3693  0.7765
F  0.2235  0.5928  0.2494
F  0.2494  0.2235  0.5928
F  0.3367  0.0000  0.3367
F  0.3367  0.3367  0.0000
F  0.3434  0.9741  0.7506
F  0.3693  0.7765  0.0259
F  0.4072  0.6307  0.6566
F  0.5928  0.2494  0.2235
F  0.6307  0.6566  0.4072
F  0.6566  0.4072  0.6307
F  0.6633  0.0000  0.6633
F  0.6633  0.6633  0.0000
F  0.7506  0.3434  0.9741
F  0.7765  0.0259  0.3693
F  0.9741  0.7506  0.3434



Record 2
Density functional theory data (GGA-PBE) for La4MgRh after structural relaxation.

Values from the calculation:
DOS(E_F) = 7.76 states/eV/f.u.
Total magnetic moment = 0.000 μB/cell
SG = C2/c, No. 15
Energy relative to the elements = -0.2543 eV/atom
ΔE to the lowest computed polymorph = 108 meV/atom

abc: 8.3128 8.3128 6.2115
angles: 100.77 100.77 113.01
Fractional positions:
La  0.0672  0.7000  0.9318
La  0.1831  0.3490  0.6323
La  0.3000  0.9328  0.5682
La  0.3490  0.1831  0.1323
La  0.6510  0.8169  0.8677
La  0.7000  0.0672  0.4318
La  0.8169  0.6510  0.3677
La  0.9328  0.3000  0.0682
Mg  0.3868  0.6132  0.2500
Mg  0.6132  0.3868  0.7500
Rh  0.0026  0.9974  0.2500
Rh  0.9974  0.0026  0.7500



Number 1: raw total energy -129.9 eV/cell. Number 2: raw total energy -60.4 eV/cell.